A relaxed Co2PbAuF crystal, computed with PBE with a Hubbard U.

Output
The calculation puts the uncorrected energy at -3.764 eV/atom. As for the size of the total moment: 4.0 μB/cell.

```
data_Co2PbAuF
_chemical_formula_sum 'Co2 Pb1 Au1 F1'
_cell_length_a 4.220
_cell_length_b 4.220
_cell_length_c 5.083
_cell_angle_alpha 90.00
_cell_angle_beta 90.00
_cell_angle_gamma 90.00
_space_group_name_H-M_alt 'P 4/m m m'
_space_group_IT_number 123
_space_group_name_Hall '-P 4 2'
loop_
_atom_site_label
_atom_site_type_symbol
_atom_site_fract_x
_atom_site_fract_y
_atom_site_fract_z
_atom_site_occupancy
Co1 Co 0.000 0.500 0.000 1
Pb1 Pb 0.000 0.000 0.500 1
Au1 Au 0.500 0.500 0.500 1
F1 F 0.000 0.000 0.000 1
```